1.
# YTi2Mo, optimized geometry, DFT PBE-GGA
# spin magnetization = 1.01 μB per formula unit
# formation enthalpy at 0 K = 0.2671 eV per atom
# energy relative to the lowest polymorph listed for this composition = 20.82 kJ per mole of atoms
# Fermi-level density of states = 7.56 states/eV/f.u.
data_YTi2Mo
_symmetry_space_group_name_H-M 'F m -3 m'
_symmetry_Int_Tables_number 225
_symmetry_space_group_name_Hall '-F 4 2 3'
_cell_length_a 6.7201
_cell_length_b 6.7201
_cell_length_c 6.7201
_cell_angle_alpha 90.00
_cell_angle_beta 90.00
_cell_angle_gamma 90.00
loop_
_atom_site_label
_atom_site_type_symbol
_atom_site_fract_x
_atom_site_fract_y
_atom_site_fract_z
Y1 Y 0.0000 0.0000 0.0000
Ti1 Ti 0.2500 0.2500 0.2500
Mo1 Mo 0.0000 0.0000 0.5000

2.
# Sm8Co2Ni, optimized geometry, DFT PBE-GGA
# spin magnetization = 0.00 μB per formula unit
# formation enthalpy at 0 K = -0.0189 eV per atom
# Fermi-level density of states = 10.03 states/eV/f.u.
data_Sm8Co2Ni
_symmetry_space_group_name_H-M 'C 1 m 1'
_symmetry_Int_Tables_number 8
_cell_length_a 8.4245
_cell_length_b 11.9197
_cell_length_c 6.3528
_cell_angle_alpha 90.00
_cell_angle_beta 109.29
_cell_angle_gamma 90.00
loop_
_symmetry_equiv_pos_as_xyz
'x,y,z'
'x,-y,z'
'x+1/2,y+1/2,z'
'x+1/2,-y+1/2,z'
loop_
_atom_site_label
_atom_site_type_symbol
_atom_site_fract_x
_atom_site_fract_y
_atom_site_fract_z
Sm1 Sm 0.0000 0.0000 0.0000
Sm2 Sm 0.0758 0.3628 0.8200
Sm3 Sm 0.1498 0.1388 0.5709
Sm4 Sm 0.2251 0.5000 0.4106
Sm5 Sm 0.3578 0.1949 0.1950
Co1 Co 0.3667 0.3144 0.7071
Ni1 Ni 0.3677 0.0000 0.4203